Compound: BaCo2Pb
Source: Alexandria via LeMat-Bulk
Functional: PBE
Structure: optimized geometry

a = 4.1554 Å, b = 4.1554 Å, c = 10.4203 Å
α = 90.00°, β = 90.00°, γ = 90.00°
Closest atoms and distances in Å follow each position.
Space group I-4m2 (No. 119)
Inequivalent atoms, fractional coordinates:
Ba (0.0000, 0.0000, 0.0000) x2  4 Co 2.94
Co (0.0000, 0.0000, 0.5000) x2  4 Ba 2.94
Co (0.0000, 0.5000, 0.7500) x2  4 Pb 2.94
Pb (0.0000, 0.5000, 0.2500) x2  4 Co 2.94

The formation energy is 0.825 eV per atom. As for the energy above the most stable polymorph in this dataset: 729 meV/atom.